24
Lattice="5.0022 -5.4195 0.0000 5.0022 5.4195 0.0000 -4.3808 0.0000 5.8142" Properties=species:S:1:pos:R:3 comment="ErAgW2O8 PBE+U optimized geometry" n_ef_per_ev_cell=0.0 e_tot_ev_per_atom=-7.2561 sg="C2/m, No. 12" volume_a3_per_cell=315.2 pbc="T T T"
Er 5.0022 3.2621 0.0000
Er 5.0022 -3.2621 0.0000
Ag -0.4445 0.0000 3.0105
Ag 6.0682 0.0000 2.8037
W 2.7575 0.0000 0.1641
W 2.8118 1.7768 2.9071
W 2.8118 -1.7768 2.9071
W 2.8662 0.0000 5.6500
O -3.2372 0.0000 5.0075
O 1.6561 1.3657 1.3960
O 1.6691 2.8714 3.7899
O -0.6904 1.4121 5.2981
O 3.9545 2.8714 2.0243
O 1.6561 -1.3657 1.3960
O -0.6904 -1.4121 5.2981
O 1.8955 0.0000 3.8310
O 3.7281 0.0000 1.9832
O 6.3141 1.4121 0.5160
O 3.9676 1.3657 4.4182
O 1.6691 -2.8714 3.7899
O 6.3141 -1.4121 0.5160
O 3.9545 -2.8714 2.0243
O 3.9676 -1.3657 4.4182
O 8.8608 0.0000 0.8067